[1]
Below is a relaxed structure of Tb2Re3Si5, with properties calculated at the GGA-PBE level.

Cell lengths 10.9987, 10.9987, 5.5438 Å; angles 90.00, 90.00, 90.00 degrees
With the nearest neighbours (Å) after each atom.
Fractional positions:
Tb 0.0773 0.2375 0.0000  7 Si 2.85-3.16, 2 Re 3.14
Tb 0.2375 0.9227 0.0000  7 Si 2.85-3.16, 2 Re 3.14
Tb 0.2625 0.4227 0.5000  7 Si 2.85-3.16, 2 Re 3.14
Tb 0.4227 0.7375 0.5000  7 Si 2.85-3.16, 2 Re 3.14
Tb 0.5773 0.2625 0.5000  7 Si 2.85-3.16, 2 Re 3.14
Tb 0.7375 0.5773 0.5000  7 Si 2.85-3.16, 2 Re 3.14
Tb 0.7625 0.0773 0.0000  7 Si 2.85-3.16, 2 Re 3.14
Tb 0.9227 0.7625 0.0000  7 Si 2.85-3.16, 2 Re 3.14
Re 0.0000 0.5000 0.2500  6 Si 2.49-2.68, 2 Re 2.77
Re 0.0000 0.5000 0.7500  6 Si 2.49-2.68, 2 Re 2.77
Re 0.1236 0.8529 0.5000  6 Si 2.48-2.55
Re 0.1471 0.1236 0.5000  6 Si 2.48-2.55
Re 0.3529 0.6236 0.0000  6 Si 2.48-2.55
Re 0.3764 0.3529 0.0000  6 Si 2.48-2.55
Re 0.5000 0.0000 0.2500  6 Si 2.49-2.68, 2 Re 2.77
Re 0.5000 0.0000 0.7500  6 Si 2.49-2.68, 2 Re 2.77
Re 0.6236 0.6471 0.0000  6 Si 2.48-2.55
Re 0.6471 0.3764 0.0000  6 Si 2.48-2.55
Re 0.8529 0.8764 0.5000  6 Si 2.48-2.55
Re 0.8764 0.1471 0.5000  6 Si 2.48-2.55
Si 0.0000 0.0000 0.2438  4 Re 2.55, 2 Si 2.70-2.84
Si 0.0000 0.0000 0.7562  4 Re 2.55, 2 Si 2.70-2.84
Si 0.0274 0.3144 0.5000  4 Re 2.48-2.49, 2 Si 2.60
Si 0.1724 0.6724 0.2500  3 Re 2.48-2.68, 4 Si 2.60-2.77
Si 0.1724 0.6724 0.7500  3 Re 2.48-2.68, 4 Si 2.60-2.77
Si 0.1856 0.4726 0.0000  4 Re 2.48-2.49, 2 Si 2.60
Si 0.3144 0.9726 0.5000  4 Re 2.48-2.49, 2 Si 2.60
Si 0.3276 0.1724 0.2500  3 Re 2.48-2.68, 4 Si 2.60-2.77
Si 0.3276 0.1724 0.7500  3 Re 2.48-2.68, 4 Si 2.60-2.77
Si 0.4726 0.8144 0.0000  4 Re 2.48-2.49, 2 Si 2.60
Si 0.5000 0.5000 0.2562  4 Re 2.55, 2 Si 2.70-2.84
Si 0.5000 0.5000 0.7438  4 Re 2.55, 2 Si 2.70-2.84
Si 0.5274 0.1856 0.0000  4 Re 2.48-2.49, 2 Si 2.60
Si 0.6724 0.8276 0.2500  3 Re 2.48-2.68, 4 Si 2.60-2.77
Si 0.6724 0.8276 0.7500  3 Re 2.48-2.68, 4 Si 2.60-2.77
Si 0.6856 0.0274 0.5000  4 Re 2.48-2.49, 2 Si 2.60
Si 0.8144 0.5274 0.0000  4 Re 2.48-2.49, 2 Si 2.60
Si 0.8276 0.3276 0.2500  3 Re 2.48-2.68, 4 Si 2.60-2.77
Si 0.8276 0.3276 0.7500  3 Re 2.48-2.68, 4 Si 2.60-2.77
Si 0.9726 0.6856 0.5000  4 Re 2.48-2.49, 2 Si 2.60

Output
**Space group**: P4/mnc
**Electronic total energy**: -7.9496 eV per atom



[2]
Below is a relaxed structure of LaGe2PdPt, with properties calculated at the GGA-PBE level.

Cell lengths 4.4443, 4.4418, 10.0279 Å; angles 90.00, 90.33, 90.00 degrees
With the nearest neighbours (Å) after each atom.
Fractional positions:
La 0.2469 0.2500 0.2543  8 Ge 3.32-3.41, 4 Pd 3.33-3.44, 5 Pt 3.37-3.71
La 0.7531 0.7500 0.7457  8 Ge 3.32-3.41, 4 Pd 3.33-3.44, 5 Pt 3.37-3.71
Ge 0.2494 0.7500 0.5000  4 Pt 2.54-2.55
Ge 0.2599 0.2500 0.8731  1 Pt 2.50, 4 Pd 2.56-2.57
Ge 0.7401 0.7500 0.1269  1 Pt 2.50, 4 Pd 2.56-2.57
Ge 0.7506 0.2500 0.5000  4 Pt 2.54-2.55
Pd 0.2368 0.7500 0.9999  4 Ge 2.56-2.57
Pd 0.7632 0.2500 0.0001  4 Ge 2.56-2.57
Pt 0.2523 0.2500 0.6239  5 Ge 2.50-2.55
Pt 0.7477 0.7500 0.3761  5 Ge 2.50-2.55

Output
**Space group**: P2_1/m
**Electronic total energy**: -6.0258 eV per atom



[3]
Below is a relaxed structure of PaTaIn, with properties calculated at the GGA-PBE level.

Cell lengths 4.8230, 4.8230, 4.8230 Å; angles 60.00, 60.00, 60.00 degrees
With the nearest neighbours (Å) after each atom.
Fractional positions:
Pa 0.0000 0.0000 0.0000  4 In 2.95
Ta 0.5000 0.5000 0.5000  4 In 2.95
In 0.2500 0.2500 0.2500  4 Ta 2.95, 4 Pa 2.95

Output
**Space group**: F-43m
**Energy relative to the lowest polymorph listed for this composition**: 0.00 kcal/mol of atoms



[4]
Below is a relaxed structure of SmGdIn, with properties calculated at the GGA-PBE level.

Cell lengths 5.4712, 5.4712, 6.8181 Å; angles 90.00, 90.00, 120.00 degrees
With the nearest neighbours (Å) after each atom.
Fractional positions:
Sm 0.3333 0.6667 0.2500  5 In 3.16-3.41
Sm 0.6667 0.3333 0.7500  5 In 3.16-3.41
Gd 0.0000 0.0000 0.0000  2 Gd 3.41, 6 In 3.59, 6 Sm 3.59
Gd 0.0000 0.0000 0.5000  2 Gd 3.41, 6 In 3.59, 6 Sm 3.59
In 0.3333 0.6667 0.7500  5 Sm 3.16-3.41
In 0.6667 0.3333 0.2500  5 Sm 3.16-3.41

Output
**Space group**: P6_3/mmc
**Energy relative to the lowest polymorph listed for this composition**: 0.01 kcal/mol of atoms



[5]
Below is a relaxed structure of BAsIrAu, with properties calculated at the GGA-PBE level.

Cell lengths 4.4077, 4.4077, 4.4077 Å; angles 60.00, 60.00, 60.00 degrees
With the nearest neighbours (Å) after each atom.
Fractional positions:
B 0.0000 0.0000 0.0000  4 Au 2.70, 4 As 2.70
As 0.2500 0.2500 0.2500  4 Ir 2.70, 4 B 2.70
Ir 0.5000 0.5000 0.5000  4 Au 2.70, 4 As 2.70
Au 0.7500 0.7500 0.7500  4 Ir 2.70, 4 B 2.70

Output
**Space group**: F-43m
**Energy relative to the lowest polymorph listed for this composition**: 4.93 kcal/mol of atoms



[6]
Below is a relaxed structure of TmAg, with properties calculated at the GGA-PBE level.

Cell lengths 4.1647, 4.1647, 4.1647 Å; angles 60.00, 60.00, 60.00 degrees
With the nearest neighbours (Å) after each atom.
Fractional positions:
Tm 0.0000 0.0000 0.0000  6 Ag 2.94
Ag 0.5000 0.5000 0.5000  6 Tm 2.94

Output
**Space group**: Fm-3m
**Electronic total energy**: -3.7352 eV per atom



[7]
Below is a relaxed structure of ErRe, with properties calculated at the GGA-PBE level.

Cell lengths 4.4465, 4.4465, 4.4465 Å; angles 60.00, 60.00, 60.00 degrees
With the nearest neighbours (Å) after each atom.
Fractional positions:
Er 0.0000 0.0000 0.0000  4 Re 2.72
Re 0.7500 0.7500 0.7500  4 Er 2.72

Output
**Space group**: F-43m
**Electronic total energy**: -6.0493 eV per atom



[8]
Below is a relaxed structure of Er2Tm5Ni2Te2, with properties calculated at the GGA-PBE level.

Cell lengths 9.2502, 9.2502, 9.2502 Å; angles 156.18, 66.94, 118.48 degrees
With the nearest neighbours (Å) after each atom.
Fractional positions:
Er 0.1332 0.0000 0.1332  2 Ni 2.76
Er 0.8668 0.0000 0.8668  2 Ni 2.76
Tm 0.1109 0.7963 0.3146  2 Ni 2.76
Tm 0.4171 0.4171 0.0000  3 Te 3.15-3.19
Tm 0.4817 0.7963 0.6854  2 Ni 2.76
Tm 0.5007 0.1472 0.3535  2 Ni 2.80, 2 Te 3.13
Tm 0.7937 0.1472 0.6465  2 Ni 2.80, 2 Te 3.13
Ni 0.2516 0.4891 0.7625  4 Tm 2.76-2.80, 2 Er 2.76
Ni 0.7266 0.4891 0.2375  4 Tm 2.76-2.80, 2 Er 2.76
Te 0.1522 0.6522 0.5000  4 Tm 3.15-3.17, 4 Er 3.15
Te 0.7543 0.7543 0.0000  2 Er 3.10, 5 Tm 3.13-3.19

Output
**Space group**: Imm2
**Energy relative to the lowest polymorph listed for this composition**: 0.02 kcal/mol of atoms